[1]
# In8Pd2Se

A relaxed structure of In8Pd2Se (PBE, OQMD via LeMat-Bulk).

Computed properties:
Calculated total energy (eV per cell): -154.19

Unit cell a=10.4884 b=10.1784 c=10.1784 alpha=90.00 beta=90.00 gamma=90.00
Sites, in units of the cell vectors:
In: 0.1632 0.0000 0.0000
In: 0.8368 0.0000 0.0000
In: 0.3118 0.3005 0.0515
In: 0.6882 0.3005 0.0515
In: 0.5000 0.9033 0.0967
In: 0.0000 0.8086 0.1914
In: 0.0000 0.1955 0.1955
In: 0.1882 0.5515 0.1995
In: 0.8118 0.5515 0.1995
In: 0.3118 0.0515 0.3005
In: 0.6882 0.0515 0.3005
In: 0.5000 0.6955 0.3045
In: 0.5000 0.3086 0.3086
In: 0.0000 0.4033 0.4033
In: 0.1882 0.8005 0.4485
In: 0.8118 0.8005 0.4485
In: 0.3368 0.5000 0.5000
In: 0.6632 0.5000 0.5000
In: 0.1882 0.1995 0.5515
In: 0.8118 0.1995 0.5515
In: 0.0000 0.5967 0.5967
In: 0.5000 0.6914 0.6914
In: 0.5000 0.3045 0.6955
In: 0.3118 0.9485 0.6995
In: 0.6882 0.9485 0.6995
In: 0.1882 0.4485 0.8005
In: 0.8118 0.4485 0.8005
In: 0.0000 0.8045 0.8045
In: 0.0000 0.1914 0.8086
In: 0.5000 0.0967 0.9033
In: 0.3118 0.6995 0.9485
In: 0.6882 0.6995 0.9485
Pd: 0.2612 0.8128 0.1872
Pd: 0.7388 0.8128 0.1872
Pd: 0.2388 0.3128 0.3128
Pd: 0.7612 0.3128 0.3128
Pd: 0.2388 0.6872 0.6872
Pd: 0.7612 0.6872 0.6872
Pd: 0.2612 0.1872 0.8128
Pd: 0.7388 0.1872 0.8128
Se: 0.0000 0.5000 0.0000
Se: 0.5000 0.5000 0.0000
Se: 0.0000 0.0000 0.5000
Se: 0.5000 0.0000 0.5000



[2]
# InSi5Pd3

A relaxed structure of InSi5Pd3 (PBE, OQMD via LeMat-Bulk).

Computed properties:
Calculated total energy (eV per cell): -45.42

Unit cell a=5.4901 b=5.4901 c=6.0645 alpha=90.00 beta=90.00 gamma=120.00
Sites, in units of the cell vectors:
In: 0.0000 0.0000 0.0000
Pd: 0.5000 0.0000 0.5000
Pd: 0.0000 0.5000 0.5000
Pd: 0.5000 0.5000 0.5000
Si: 0.6667 0.3333 0.1885
Si: 0.3333 0.6667 0.1885
Si: 0.0000 0.0000 0.5000
Si: 0.6667 0.3333 0.8115
Si: 0.3333 0.6667 0.8115



[3]
# SmInPd

A relaxed structure of SmInPd (PBE, OQMD via LeMat-Bulk).

Computed properties:
Calculated total energy (eV per cell): -14.53

Unit cell a=4.7783 b=4.7783 c=4.7783 alpha=60.00 beta=60.00 gamma=60.00
Each line ends with the local moment (μB).
Sites, in units of the cell vectors:
In: 0.2500 0.2500 0.2500  0.08
Pd: 0.0000 0.0000 0.0000  0.06
Sm: 0.7500 0.7500 0.7500  0.12